Record 1
K3La3HfTe8 | PBE | relaxed

Formation energy from raw total energies, eV/atom: -1.337
E, eV per atom: -4.88
Calculated density, g/cm3: 4.71

Cell lengths 9.1604, 9.1604, 25.2051 Å; angles 90.00, 90.00, 120.00 degrees
Space group R-3m (No. 166, hexagonal axes)
Unique sites:
K 0.0000 0.5000 0.0000 (multiplicity 9)
La 0.0000 0.5000 0.5000 (multiplicity 9)
Hf 0.0000 0.0000 0.5000 (multiplicity 3)
Te 0.0000 0.0000 0.2395 (multiplicity 6)
Te 0.0284 0.5142 0.2338 (multiplicity 18)

---

Record 2
K4La3HfTe8 | PBE | relaxed

Formation energy from raw total energies, eV/atom: -1.312
D(E_F), states/eV per atom: 0.342
E, eV per atom: -4.70
Calculated density, g/cm3: 4.91

Cell lengths 9.1500, 9.1500, 24.7969 Å; angles 90.00, 90.00, 120.00 degrees
Space group R-3m (No. 166, hexagonal axes)
Unique sites:
K 0.0000 0.0000 0.0000 (multiplicity 3)
K 0.0000 0.5000 0.0000 (multiplicity 9)
La 0.0000 0.5000 0.5000 (multiplicity 9)
Hf 0.0000 0.0000 0.5000 (multiplicity 3)
Te 0.0000 0.0000 0.2410 (multiplicity 6)
Te 0.0259 0.5129 0.2361 (multiplicity 18)

---

Record 3
KLaYHf2 | PBE | relaxed

D(E_F), states/eV per atom: 1.190
E, eV per atom: -5.23
Energy relative to the elements, eV/atom: 1.25
Calculated density, g/cm3: 5.71

Cell lengths 5.502, 5.502, 5.998 Å; angles 90.00, 90.00, 90.00 degrees
Space group P4/mmm (No. 123)
Unique sites:
K 0.000 0.000 0.000 (multiplicity 1)
La 0.500 0.500 0.000 (multiplicity 1)
Y 0.500 0.500 0.500 (multiplicity 1)
Hf 0.000 0.500 0.500 (multiplicity 2)

---

> What is the E in the second record?

-4.70 eV per atom

---

> Which value of calculated density does entry 1 give?

4.71 g/cm3

---

> What is the formula in the third record?

KLaYHf2

---

> calculated density of number 3 (KLaYHf2)?

5.71 g/cm3